# 1
# Tb3Sm4Pt4 PBE-GGA optimized geometry
# Calculated total energy: -5.98 eV/atom
# N(E_F): 1.028 states/eV/atom
# Formation enthalpy at 0 K: -0.81 eV/atom
# Magnetization: 0.00 μB/cell
# Space-group type: Immm, No. 71
data_Tb3Sm4Pt4
_cell_length_a 4.540
_cell_length_b 8.018
_cell_length_c 9.126
_cell_angle_alpha 116.06
_cell_angle_beta 104.40
_cell_angle_gamma 90.00
_symmetry_space_group_name_H-M 'P 1'
_symmetry_Int_Tables_number 1
loop_
_symmetry_equiv_pos_as_xyz
'x,y,z'
loop_
_atom_site_label
_atom_site_fract_x
_atom_site_fract_y
_atom_site_fract_z
_atom_site_occupancy
Tb1 0.100 0.100 0.199 1
Tb2 0.900 0.900 0.801 1
Tb3 0.000 0.500 0.000 1
Sm1 0.332 0.122 0.664 1
Sm2 0.668 0.458 0.336 1
Sm3 0.668 0.878 0.336 1
Sm4 0.332 0.542 0.664 1
Pt1 0.211 0.711 0.422 1
Pt2 0.789 0.289 0.578 1
Pt3 0.500 0.823 0.000 1
Pt4 0.500 0.177 0.000 1

# 2
# Tb3Sm2Pt2 PBE-GGA optimized geometry
# Calculated total energy: -5.82 eV/atom
# N(E_F): 1.131 states/eV/atom
# Formation enthalpy at 0 K: -0.77 eV/atom
# Magnetization: 0.00 μB/cell
# Space-group type: C2/m, No. 12
data_Tb3Sm2Pt2
_cell_length_a 3.792
_cell_length_b 6.497
_cell_length_c 8.657
_cell_angle_alpha 72.52
_cell_angle_beta 77.35
_cell_angle_gamma 73.03
_symmetry_space_group_name_H-M 'P 1'
_symmetry_Int_Tables_number 1
loop_
_symmetry_equiv_pos_as_xyz
'x,y,z'
loop_
_atom_site_label
_atom_site_fract_x
_atom_site_fract_y
_atom_site_fract_z
_atom_site_occupancy
Tb1 0.500 0.000 0.000 1
Tb2 0.385 0.796 0.435 1
Tb3 0.615 0.204 0.565 1
Sm1 0.163 0.486 0.189 1
Sm2 0.837 0.514 0.811 1
Pt1 0.171 0.898 0.760 1
Pt2 0.829 0.102 0.240 1

# 3
# Tb2SmPt2 PBE-GGA optimized geometry
# Calculated total energy: -6.23 eV/atom
# N(E_F): 0.815 states/eV/atom
# Formation enthalpy at 0 K: -1.02 eV/atom
# Distance to the lowest polymorph of the same formula: 0 meV per atom
# Magnetization: 0.00 μB/cell
# Space-group type: P4/mbm, No. 127
data_Tb2SmPt2
_cell_length_a 3.957
_cell_length_b 7.847
_cell_length_c 7.847
_cell_angle_alpha 90.00
_cell_angle_beta 90.00
_cell_angle_gamma 90.00
_symmetry_space_group_name_H-M 'P 1'
_symmetry_Int_Tables_number 1
loop_
_symmetry_equiv_pos_as_xyz
'x,y,z'
loop_
_atom_site_label
_atom_site_fract_x
_atom_site_fract_y
_atom_site_fract_z
_atom_site_occupancy
Tb1 0.000 0.661 0.339 1
Tb2 0.000 0.839 0.839 1
Tb3 0.000 0.161 0.161 1
Tb4 0.000 0.339 0.661 1
Sm1 0.500 0.500 0.000 1
Sm2 0.500 0.000 0.500 1
Pt1 0.500 0.364 0.364 1
Pt2 0.500 0.864 0.136 1
Pt3 0.500 0.136 0.864 1
Pt4 0.500 0.636 0.636 1

# 4
# TbSmPt2 PBE-GGA optimized geometry
# Calculated total energy: -6.50 eV/atom
# N(E_F): 0.852 states/eV/atom
# Formation enthalpy at 0 K: -1.15 eV/atom
# Distance to the lowest polymorph of the same formula: 86 meV per atom
# Magnetization: 0.00 μB/cell
# Space-group type: Fm-3m, No. 225
data_TbSmPt2
_cell_length_a 5.007
_cell_length_b 5.007
_cell_length_c 5.007
_cell_angle_alpha 60.00
_cell_angle_beta 60.00
_cell_angle_gamma 60.00
_symmetry_space_group_name_H-M 'P 1'
_symmetry_Int_Tables_number 1
loop_
_symmetry_equiv_pos_as_xyz
'x,y,z'
loop_
_atom_site_label
_atom_site_fract_x
_atom_site_fract_y
_atom_site_fract_z
_atom_site_occupancy
Tb1 0.000 0.000 0.000 1
Sm1 0.500 0.500 0.500 1
Pt1 0.250 0.250 0.250 1
Pt2 0.750 0.750 0.750 1

# 5
# Tb2SmPt PBE-GGA optimized geometry
# Calculated total energy: -5.69 eV/atom
# N(E_F): 1.033 states/eV/atom
# Formation enthalpy at 0 K: -0.69 eV/atom
# Distance to the lowest polymorph of the same formula: 0 meV per atom
# Magnetization: 0.00 μB/cell
# Space-group type: Pnma, No. 62
data_Tb2SmPt
_cell_length_a 6.559
_cell_length_b 7.126
_cell_length_c 9.685
_cell_angle_alpha 90.00
_cell_angle_beta 90.00
_cell_angle_gamma 90.00
_symmetry_space_group_name_H-M 'P 1'
_symmetry_Int_Tables_number 1
loop_
_symmetry_equiv_pos_as_xyz
'x,y,z'
loop_
_atom_site_label
_atom_site_fract_x
_atom_site_fract_y
_atom_site_fract_z
_atom_site_occupancy
Tb1 0.175 0.679 0.062 1
Tb2 0.325 0.179 0.438 1
Tb3 0.825 0.321 0.562 1
Tb4 0.675 0.821 0.938 1
Tb5 0.825 0.321 0.938 1
Tb6 0.675 0.821 0.562 1
Tb7 0.175 0.679 0.438 1
Tb8 0.325 0.179 0.062 1
Sm1 0.634 0.525 0.250 1
Sm2 0.866 0.025 0.250 1
Sm3 0.366 0.475 0.750 1
Sm4 0.134 0.975 0.750 1
Pt1 0.063 0.386 0.250 1
Pt2 0.437 0.886 0.250 1
Pt3 0.937 0.614 0.750 1
Pt4 0.563 0.114 0.750 1

# 6
# Tb5SmPt4 PBE-GGA optimized geometry
# Calculated total energy: -6.17 eV/atom
# N(E_F): 0.632 states/eV/atom
# Formation enthalpy at 0 K: -0.97 eV/atom
# Magnetization: 0.00 μB/cell
# Space-group type: C2/m, No. 12
data_Tb5SmPt4
_cell_length_a 4.206
_cell_length_b 7.708
_cell_length_c 9.600
_cell_angle_alpha 113.75
_cell_angle_beta 102.66
_cell_angle_gamma 90.00
_symmetry_space_group_name_H-M 'P 1'
_symmetry_Int_Tables_number 1
loop_
_symmetry_equiv_pos_as_xyz
'x,y,z'
loop_
_atom_site_label
_atom_site_fract_x
_atom_site_fract_y
_atom_site_fract_z
_atom_site_occupancy
Tb1 0.835 0.593 0.671 1
Tb2 0.835 0.078 0.671 1
Tb3 0.165 0.922 0.329 1
Tb4 0.500 0.500 0.000 1
Tb5 0.165 0.407 0.329 1
Sm1 0.500 0.000 0.000 1
Pt1 0.294 0.794 0.588 1
Pt2 0.000 0.741 0.000 1
Pt3 0.706 0.206 0.412 1
Pt4 0.000 0.259 0.000 1

# 7
# TbSm3Pt PBE-GGA optimized geometry
# Calculated total energy: -5.34 eV/atom
# N(E_F): 1.185 states/eV/atom
# Formation enthalpy at 0 K: -0.37 eV/atom
# Distance to the lowest polymorph of the same formula: 133 meV per atom
# Magnetization: 0.00 μB/cell
# Space-group type: Pmn2_1, No. 31
data_TbSm3Pt
_cell_length_a 6.166
_cell_length_b 6.815
_cell_length_c 7.797
_cell_angle_alpha 90.02
_cell_angle_beta 90.00
_cell_angle_gamma 90.00
_symmetry_space_group_name_H-M 'P 1'
_symmetry_Int_Tables_number 1
loop_
_symmetry_equiv_pos_as_xyz
'x,y,z'
loop_
_atom_site_label
_atom_site_fract_x
_atom_site_fract_y
_atom_site_fract_z
_atom_site_occupancy
Tb1 0.430 0.323 0.701 1
Tb2 0.930 0.029 0.201 1
Sm1 0.419 0.329 0.201 1
Sm2 0.424 0.878 0.953 1
Sm3 0.923 0.475 0.453 1
Sm4 0.919 0.024 0.701 1
Sm5 0.924 0.475 0.949 1
Sm6 0.424 0.878 0.449 1
Pt1 0.182 0.671 0.701 1
Pt2 0.682 0.682 0.201 1

# 8
# Tb2SmPt2 PBE-GGA optimized geometry
# Calculated total energy: -6.16 eV/atom
# N(E_F): 0.809 states/eV/atom
# Formation enthalpy at 0 K: -0.94 eV/atom
# Distance to the lowest polymorph of the same formula: 73 meV per atom
# Magnetization: 0.00 μB/cell
# Space-group type: Cmc2_1, No. 36
data_Tb2SmPt2
_cell_length_a 3.914
_cell_length_b 7.589
_cell_length_c 8.884
_cell_angle_alpha 90.00
_cell_angle_beta 102.73
_cell_angle_gamma 90.00
_symmetry_space_group_name_H-M 'P 1'
_symmetry_Int_Tables_number 1
loop_
_symmetry_equiv_pos_as_xyz
'x,y,z'
loop_
_atom_site_label
_atom_site_fract_x
_atom_site_fract_y
_atom_site_fract_z
_atom_site_occupancy
Tb1 0.031 0.245 0.062 1
Tb2 0.186 0.528 0.372 1
Tb3 0.814 0.028 0.628 1
Tb4 0.969 0.745 0.938 1
Sm1 0.628 0.910 0.255 1
Sm2 0.372 0.410 0.745 1
Pt1 0.551 0.537 0.102 1
Pt2 0.199 0.146 0.397 1
Pt3 0.801 0.646 0.603 1
Pt4 0.449 0.037 0.898 1

# 9
# TbSmPt6 PBE-GGA optimized geometry
# Calculated total energy: -6.34 eV/atom
# N(E_F): 1.479 states/eV/atom
# Formation enthalpy at 0 K: -0.64 eV/atom
# Distance to the lowest polymorph of the same formula: 334 meV per atom
# Magnetization: 0.00 μB/cell
# Space-group type: Pm-3, No. 200
data_TbSmPt6
_cell_length_a 5.334
_cell_length_b 5.334
_cell_length_c 5.334
_cell_angle_alpha 90.00
_cell_angle_beta 90.00
_cell_angle_gamma 90.00
_symmetry_space_group_name_H-M 'P 1'
_symmetry_Int_Tables_number 1
loop_
_symmetry_equiv_pos_as_xyz
'x,y,z'
loop_
_atom_site_label
_atom_site_fract_x
_atom_site_fract_y
_atom_site_fract_z
_atom_site_occupancy
Tb1 0.000 0.000 0.000 1
Sm1 0.500 0.500 0.500 1
Pt1 0.500 0.751 0.000 1
Pt2 0.751 0.000 0.500 1
Pt3 0.000 0.500 0.249 1
Pt4 0.249 0.000 0.500 1
Pt5 0.500 0.249 0.000 1
Pt6 0.000 0.500 0.751 1

# 10
# TbSmPt2 PBE-GGA optimized geometry
# Calculated total energy: -6.46 eV/atom
# N(E_F): 0.529 states/eV/atom
# Formation enthalpy at 0 K: -1.10 eV/atom
# Distance to the lowest polymorph of the same formula: 127 meV per atom
# Magnetization: 0.00 μB/cell
# Space-group type: R-3m, No. 166
data_TbSmPt2
_cell_length_a 4.109
_cell_length_b 4.109
_cell_length_c 7.153
_cell_angle_alpha 73.31
_cell_angle_beta 73.31
_cell_angle_gamma 60.00
_symmetry_space_group_name_H-M 'P 1'
_symmetry_Int_Tables_number 1
loop_
_symmetry_equiv_pos_as_xyz
'x,y,z'
loop_
_atom_site_label
_atom_site_fract_x
_atom_site_fract_y
_atom_site_fract_z
_atom_site_occupancy
Tb1 0.000 0.000 0.000 1
Sm1 0.500 0.500 0.500 1
Pt1 0.748 0.748 0.756 1
Pt2 0.252 0.252 0.244 1

# 11
# Tb2Sm2Pt15 PBE-GGA optimized geometry
# Calculated total energy: -6.47 eV/atom
# N(E_F): 0.892 states/eV/atom
# Formation enthalpy at 0 K: -0.72 eV/atom
# Magnetization: 0.00 μB/cell
# Space-group type: R-3m, No. 166
data_Tb2Sm2Pt15
_cell_length_a 7.111
_cell_length_b 7.111
_cell_length_c 7.111
_cell_angle_alpha 82.32
_cell_angle_beta 82.32
_cell_angle_gamma 82.32
_symmetry_space_group_name_H-M 'P 1'
_symmetry_Int_Tables_number 1
loop_
_symmetry_equiv_pos_as_xyz
'x,y,z'
loop_
_atom_site_label
_atom_site_fract_x
_atom_site_fract_y
_atom_site_fract_z
_atom_site_occupancy
Tb1 0.107 0.107 0.107 1
Tb2 0.893 0.893 0.893 1
Sm1 0.360 0.360 0.360 1
Sm2 0.640 0.640 0.640 1
Pt1 0.500 0.000 0.000 1
Pt2 0.000 0.000 0.500 1
Pt3 0.000 0.500 0.000 1
Pt4 0.000 0.687 0.313 1
Pt5 0.687 0.313 0.000 1
Pt6 0.313 0.000 0.687 1
Pt7 0.313 0.687 0.000 1
Pt8 0.687 0.000 0.313 1
Pt9 0.000 0.313 0.687 1
Pt10 0.162 0.653 0.653 1
Pt11 0.653 0.653 0.162 1
Pt12 0.653 0.162 0.653 1
Pt13 0.838 0.347 0.347 1
Pt14 0.347 0.347 0.838 1
Pt15 0.347 0.838 0.347 1

# 12
# TbSmPt6 PBE-GGA optimized geometry
# Calculated total energy: -6.67 eV/atom
# N(E_F): 0.883 states/eV/atom
# Formation enthalpy at 0 K: -0.97 eV/atom
# Distance to the lowest polymorph of the same formula: 0 meV per atom
# Magnetization: 0.00 μB/cell
# Space-group type: P4/mmm, No. 123
data_TbSmPt6
_cell_length_a 4.149
_cell_length_b 4.149
_cell_length_c 8.296
_cell_angle_alpha 90.00
_cell_angle_beta 90.00
_cell_angle_gamma 90.00
_symmetry_space_group_name_H-M 'P 1'
_symmetry_Int_Tables_number 1
loop_
_symmetry_equiv_pos_as_xyz
'x,y,z'
loop_
_atom_site_label
_atom_site_fract_x
_atom_site_fract_y
_atom_site_fract_z
_atom_site_occupancy
Tb1 0.000 0.000 0.500 1
Sm1 0.000 0.000 0.000 1
Pt1 0.500 0.500 0.000 1
Pt2 0.500 0.500 0.500 1
Pt3 0.500 0.000 0.253 1
Pt4 0.500 0.000 0.747 1
Pt5 0.000 0.500 0.253 1
Pt6 0.000 0.500 0.747 1